1.
Computed, not measured: an optimized crystal structure of TaMn at the PBEsol level of DFT.

ΔH_f (0 K) in eV per atom: 0.05

Cell: 2.7446 2.7446 7.5003 Å, 90.00 90.00 90.00°
Atoms (fractional coordinates):
1 Ta 0.2500 0.2500 0.1579
2 Ta 0.7500 0.7500 0.8421
3 Mn 0.2500 0.2500 0.5787
4 Mn 0.7500 0.7500 0.4213

---

2.
Computed, not measured: an optimized crystal structure of Be4CoCu at the PBEsol level of DFT.

ΔH_f (0 K) in eV per atom: -0.16

Cell: 4.1457 4.1457 4.1457 Å, 60.00 60.00 60.00°
Atoms (fractional coordinates):
1 Be 0.1244 0.1244 0.1244
2 Be 0.1244 0.1244 0.6267
3 Be 0.1244 0.6267 0.1244
4 Be 0.6267 0.1244 0.1244
5 Co 0.7500 0.7500 0.7500
6 Cu 0.5000 0.5000 0.5000

---

3.
Computed, not measured: an optimized crystal structure of LaCdIn at the PBEsol level of DFT.

ΔH_f (0 K) in eV per atom: -0.49

Cell: 4.9721 4.9721 3.6941 Å, 90.00 90.00 120.00°
Atoms (fractional coordinates):
1 La 0.0000 0.0000 0.0000
2 Cd 0.6667 0.3333 0.5000
3 In 0.3333 0.6667 0.5000

---

4.
Computed, not measured: an optimized crystal structure of MnTl2CuB at the PBEsol level of DFT.

ΔH_f (0 K) in eV per atom: 1.44

Cell: 4.8918 4.8918 4.6663 Å, 90.00 90.00 90.00°
Atoms (fractional coordinates):
1 Mn 0.0000 0.0000 0.0000
2 Tl 0.0000 0.5000 0.5000
3 Tl 0.5000 0.0000 0.5000
4 Cu 0.0000 0.0000 0.5000
5 B 0.5000 0.5000 0.0000

---

5.
Computed, not measured: an optimized crystal structure of Sc2CoBr at the PBEsol level of DFT.

Relative energy among the computed polymorphs in meV per atom: 0.0

Cell: 3.6235 3.6235 5.8852 Å, 90.00 90.00 90.00°
Atoms (fractional coordinates):
1 Sc 0.0000 0.0000 0.0000
2 Sc 0.5000 0.5000 0.3879
3 Co 0.5000 0.5000 0.9979
4 Br 0.0000 0.0000 0.5370

---

6.
Computed, not measured: an optimized crystal structure of TbCoGe at the PBEsol level of DFT.

ΔH_f (0 K) in eV per atom: -0.71

Cell: 6.9412 4.2283 6.8438 Å, 90.00 90.00 90.00°
Atoms (fractional coordinates):
1 Tb 0.0204 0.2500 0.1888
2 Tb 0.4796 0.7500 0.6888
3 Tb 0.5204 0.2500 0.3112
4 Tb 0.9796 0.7500 0.8112
5 Co 0.1449 0.7500 0.4348
6 Co 0.3551 0.2500 0.9348
7 Co 0.6449 0.7500 0.0652
8 Co 0.8551 0.2500 0.5652
9 Ge 0.1979 0.2500 0.6083
10 Ge 0.3021 0.7500 0.1083
11 Ge 0.6979 0.2500 0.8917
12 Ge 0.8021 0.7500 0.3917

---

7.
Computed, not measured: an optimized crystal structure of V6O13 at the PBEsol level of DFT.

Relative energy among the computed polymorphs in meV per atom: 6.3

Cell: 11.4055 9.9515 6.1526 Å, 86.82 60.59 32.59°
Atoms (fractional coordinates):
1 V 0.0351 0.3314 0.6686
2 V 0.1496 0.8504 0.1496
3 V 0.3314 0.0351 0.9649
4 V 0.6686 0.9649 0.0351
5 V 0.8504 0.1496 0.8504
6 V 0.9649 0.6686 0.3314
7 O 0.0000 0.0000 0.0000
8 O 0.0549 0.7478 0.2522
9 O 0.1235 0.4718 0.5282
10 O 0.1963 0.1963 0.8037
11 O 0.2522 0.9451 0.0549
12 O 0.3236 0.6764 0.3236
13 O 0.4718 0.1235 0.8765
14 O 0.5282 0.8765 0.1235
15 O 0.6764 0.3236 0.6764
16 O 0.7478 0.0549 0.9451
17 O 0.8037 0.8037 0.1963
18 O 0.8765 0.5282 0.4718
19 O 0.9451 0.2522 0.7478

---

8.
Computed, not measured: an optimized crystal structure of Al2O3 at the PBEsol level of DFT.

E in eV per atom: -7.832

Cell: 4.8526 8.3291 8.9524 Å, 90.00 90.00 90.00°
Atoms (fractional coordinates):
1 Al 0.1731 0.0302 0.2122
2 Al 0.1782 0.3483 0.4126
3 Al 0.1835 0.6601 0.2218
4 Al 0.1864 0.3459 0.0000
5 Al 0.3136 0.8459 0.5000
6 Al 0.3165 0.1601 0.7218
7 Al 0.3218 0.8483 0.9126
8 Al 0.3269 0.5302 0.7122
9 Al 0.6731 0.4698 0.2122
10 Al 0.6782 0.1517 0.4126
11 Al 0.6835 0.8399 0.2218
12 Al 0.6864 0.1541 0.0000
13 Al 0.8136 0.6541 0.5000
14 Al 0.8165 0.3399 0.7218
15 Al 0.8218 0.6517 0.9126
16 Al 0.8269 0.9698 0.7122
17 O 0.0203 0.1684 0.3533
18 O 0.0202 0.8247 0.3413
19 O 0.0222 0.4875 0.8474
20 O 0.1574 0.3388 0.6121
21 O 0.1566 0.6683 0.5861
22 O 0.1572 0.9990 0.6175
23 O 0.3434 0.1683 0.0861
24 O 0.3428 0.4990 0.1175
25 O 0.3426 0.8388 0.1121
26 O 0.4778 0.9875 0.3474
27 O 0.4798 0.3247 0.8413
28 O 0.4797 0.6684 0.8533
29 O 0.5203 0.3316 0.3533
30 O 0.5202 0.6753 0.3413
31 O 0.5222 0.0125 0.8474
32 O 0.6574 0.1612 0.6121
33 O 0.6572 0.5010 0.6175
34 O 0.6566 0.8317 0.5861
35 O 0.8428 0.0010 0.1175
36 O 0.8434 0.3317 0.0861
37 O 0.8426 0.6612 0.1121
38 O 0.9778 0.5125 0.3474
39 O 0.9798 0.1753 0.8413
40 O 0.9797 0.8316 0.8533

---

Total magnetization (μB/f.u.)
0.00 0.00 0.00 4.06 0.00 0.00 3.34 0.00